Entry 1:
GGA-PBE Lu2ScOs, relaxed; ΔH_f (0 K) = 0.209 eV/atom; symmetry = No. 166
1.0
3.256 0.000 0.000
1.628 2.819 0.000
1.628 0.940 10.458
Sc Lu Os
1 2 1
direct
0.000 0.000 0.000 Sc
0.101 0.101 0.697 Lu
0.899 0.899 0.303 Lu
0.500 0.500 0.500 Os

---

Entry 2:
GGA-PBE TlFeP2S, relaxed; symmetry = No. 123; ΔE_f (raw) = 1.996 eV/atom
1.0
-4.119 -1.596 -2.462
-1.255 -2.878 3.964
-2.639 3.821 1.939
S P Tl Fe
1 2 1 1
direct
0.000 0.000 0.500 S
0.000 0.500 0.000 P
0.500 0.000 0.000 P
0.000 0.000 0.000 Tl
0.500 0.500 0.500 Fe

---

Computed energy relative to the lowest polymorph listed for this composition, in the same sequence as the records: 381.1; 1701.6 meV per atom.